(1)
Computed, not measured: YErTh2 after structural relaxation at the PBE level of DFT.

a = 5.0222 Å, b = 5.0222 Å, c = 5.0653 Å
α = 90.00°, β = 90.00°, γ = 90.00°
Space group P4/mmm (No. 123)
Unique sites:
Y1 0.0000 0.0000 0.0000
Er1 0.5000 0.5000 0.0000
Th1 0.0000 0.5000 0.5000

Values from the calculation:
The value obtained for the offset from the most stable computed form is 0.012 eV per atom.

***

(2)
Computed, not measured: YEr3Th3 after structural relaxation at the PBE level of DFT.

a = 9.4751 Å, b = 9.4751 Å, c = 5.7796 Å
α = 90.00°, β = 90.00°, γ = 120.00°
Space group P6_3/m (No. 176)
Unique sites:
Y1 0.3333 0.6667 0.2500
Er1 0.0426 0.2368 0.2500
Th1 0.1030 0.4847 0.7500

Values from the calculation:
The value obtained for the offset from the most stable computed form is 0.013 eV per atom.

***

(3)
Computed, not measured: YEr10Th4 after structural relaxation at the PBE level of DFT.

a = 11.2375 Å, b = 11.2375 Å, c = 7.7425 Å
α = 90.00°, β = 90.00°, γ = 90.00°
Space group I4/mmm (No. 139)
Unique sites:
Y1 0.0000 0.0000 0.0000
Er1 0.0000 0.2091 0.2928
Er2 0.0000 0.5000 0.2500
Th1 0.2279 0.2279 0.0000

***

What are the ΔH_f (0 K) values for these records? In order: 0.046, 0.050, 0.303 eV per atom.
What are the DOS(E_F) values for these records? In order: 5.92, 20.60, 43.24 states/eV per cell.
What are the raw total energy values for these records? In order: -25.68, -84.12, -154.46 eV for the cell shown.